No. 1
A relaxed ZnCuO2 crystal. Source: Alexandria, functional PBE.

Values from the calculation:
ΔE_f (raw) = -0.853 eV per atom
V = 13.325 A^3/atom
energy = -4.674 eV/atom
total moment = 0.000 μB/f.u.

Unit cell a=3.2786 b=8.1918 c=8.2901 alpha=77.90 beta=78.92 gamma=84.17
Last column: nearest neighbours and their distance in Å.
Sites, in units of the cell vectors:
1 Zn 0.0000 0.0000 0.0000  4 O 1.91-2.08
2 Zn 0.0555 0.2811 0.6393  4 O 1.91-2.11
3 Zn 0.3577 0.3537 0.9775  4 O 1.93-2.16
4 Zn 0.6923 0.9560 0.6415  4 O 1.98-2.11
5 Cu 0.2878 0.9941 0.3105  4 O 1.89-1.91
6 Cu 0.4762 0.6603 0.1643  2 O 1.79-1.82
7 Cu 0.5596 0.6234 0.4735  2 O 1.81-1.83
8 Cu 0.7635 0.2963 0.3139  4 O 1.87-1.93
9 O 0.0319 0.1579 0.1565  2 Cu 1.90-1.93, 1 Zn 2.04
10 O 0.0364 0.1356 0.4595  2 Cu 1.87-1.89
11 O 0.1187 0.0019 0.7654  3 Zn 1.91-2.00
12 O 0.4407 0.4414 0.1749  2 Cu 1.79-1.87, 1 Zn 1.99
13 O 0.4817 0.8873 0.1236  2 Cu 1.82-1.91, 1 Zn 2.01
14 O 0.5559 0.8448 0.4704  2 Cu 1.81-1.89, 1 Zn 1.98
15 O 0.5773 0.3947 0.5073  2 Cu 1.83-1.91, 1 Zn 2.04
16 O 0.9224 0.3505 0.8508  3 Zn 1.91-1.95

---

No. 2
A relaxed Co2TeOs crystal. Source: Alexandria, functional PBE.

Values from the calculation:
ΔE_f (raw) = 0.567 eV per atom
V = 14.033 A^3/atom
energy = -6.578 eV/atom
total moment = 1.945 μB/f.u.

Unit cell a=4.6338 b=4.6338 c=4.6338 alpha=130.55 beta=130.55 gamma=72.52
Last column: nearest neighbours and their distance in Å.
Sites, in units of the cell vectors:
1 Co 0.2500 0.7500 0.5000  4 Os 2.69, 4 Te 2.69, 4 Co 2.74
2 Co 0.7500 0.2500 0.5000  4 Os 2.69, 4 Te 2.69, 4 Co 2.74
3 Te 0.0000 0.0000 0.0000  8 Co 2.69, 4 Os 2.74
4 Os 0.5000 0.5000 0.0000  8 Co 2.69, 4 Te 2.74

---

No. 3
A relaxed BeInSn3 crystal. Source: Alexandria, functional PBE.

Values from the calculation:
energy of formation from the pure elements = 1.1449 eV/atom
excess energy over the best structure of this formula in the dataset = 0.8400 eV/atom
V = 35.479 A^3/atom
energy = -2.550 eV/atom
total moment = 0.000 μB/f.u.

Unit cell a=5.6188 b=5.6188 c=5.6188 alpha=90.00 beta=90.00 gamma=90.00
Last column: nearest neighbours and their distance in Å.
Sites, in units of the cell vectors:
1 Be 0.0000 0.0000 0.0000  12 Sn 3.97
2 In 0.5000 0.5000 0.5000  6 Sn 2.81
3 Sn 0.0000 0.5000 0.5000  2 In 2.81
4 Sn 0.5000 0.0000 0.5000  2 In 2.81
5 Sn 0.5000 0.5000 0.0000  2 In 2.81

---

No. 4
A relaxed LaFeH2N crystal. Source: Alexandria, functional PBE.

Values from the calculation:
V = 10.220 A^3/atom
energy = -6.297 eV/atom
total moment = 0.718 μB/f.u.

Unit cell a=3.6965 b=3.6965 c=3.7397 alpha=90.00 beta=90.00 gamma=90.00
Last column: nearest neighbours and their distance in Å.
Sites, in units of the cell vectors:
1 La 0.0000 0.0000 0.0000  4 N 2.61, 8 H 2.63
2 Fe 0.5000 0.5000 0.5000  4 H 1.85, 2 N 1.87
3 H 0.0000 0.5000 0.5000  2 Fe 1.85
4 H 0.5000 0.0000 0.5000  2 Fe 1.85
5 N 0.5000 0.5000 0.0000  2 Fe 1.87

---

No. 5
A relaxed NaPuUS4 crystal. Source: Alexandria, functional PBE.

Values from the calculation:
ΔE_f (raw) = -1.469 eV per atom
V = 27.570 A^3/atom
energy = -7.676 eV/atom
total moment = 7.000 μB/f.u.

Unit cell a=8.1754 b=8.1754 c=8.1754 alpha=120.29 beta=119.84 gamma=89.88
Last column: nearest neighbours and their distance in Å.
Sites, in units of the cell vectors:
1 Na 0.3720 0.1220 0.2500  4 S 2.76-2.80
2 Na 0.6280 0.8780 0.7500  4 S 2.76-2.80
3 Pu 0.0000 0.5000 0.5000  6 S 2.77-2.79
4 Pu 0.5000 0.5000 0.0000  6 S 2.77-2.79
5 U 0.0000 0.0000 0.5000  6 S 2.68-2.72
6 U 0.0000 0.5000 0.0000  6 S 2.68-2.72
7 S 0.2094 0.7401 0.4692  2 U 2.72, 1 Pu 2.79, 1 Na 2.80
8 S 0.2291 0.2599 0.9692  2 U 2.72, 1 Pu 2.79, 1 Na 2.80
9 S 0.2308 0.2542 0.5234  1 U 2.68, 1 Na 2.76, 2 Pu 2.77
10 S 0.2308 0.7074 0.9766  1 U 2.68, 1 Na 2.76, 2 Pu 2.77
11 S 0.7692 0.2926 0.0234  1 U 2.68, 1 Na 2.76, 2 Pu 2.77
12 S 0.7692 0.7458 0.4766  1 U 2.68, 1 Na 2.76, 2 Pu 2.77
13 S 0.7709 0.7401 0.0308  2 U 2.72, 1 Pu 2.79, 1 Na 2.80
14 S 0.7906 0.2599 0.5308  2 U 2.72, 1 Pu 2.79, 1 Na 2.80

---

No. 6
A relaxed Dy2U2Te7 crystal. Source: Alexandria, functional PBE.

Values from the calculation:
ΔE_f (raw) = -0.933 eV per atom
V = 30.019 A^3/atom
energy = -5.821 eV/atom
total moment = 4.144 μB/f.u.

Unit cell a=9.6208 b=9.6208 c=9.6208 alpha=154.56 beta=66.77 gamma=119.43
Last column: nearest neighbours and their distance in Å.
Sites, in units of the cell vectors:
1 Dy 0.2405 0.0000 0.2405  7 Te 3.06-3.22
2 Dy 0.7595 0.0000 0.7595  7 Te 3.06-3.22
3 U 0.2268 0.2268 0.0000  7 Te 3.06-3.21
4 U 0.6759 0.1759 0.5000  8 Te 3.12-3.21
5 Te 0.0444 0.6814 0.3630  2 U 3.09, 2 Dy 3.22
6 Te 0.3185 0.6814 0.6370  2 U 3.09, 2 Dy 3.22
7 Te 0.3961 0.5048 0.8913  3 U 3.21, 2 Dy 3.22, 1 Te 3.49
8 Te 0.6135 0.5048 0.1087  3 U 3.21, 2 Dy 3.22, 1 Te 3.49
9 Te 0.6156 0.2958 0.3198  3 Dy 3.06-3.14, 1 U 3.12
10 Te 0.9116 0.9116 0.0000  3 U 3.06-3.12
11 Te 0.9759 0.2958 0.6802  3 Dy 3.06-3.14, 1 U 3.12

---

No. 7
A relaxed NbPbI2N crystal. Source: Alexandria, functional PBE.

Values from the calculation:
ΔE_f (raw) = 0.067 eV per atom
excess energy over the best structure of this formula in the dataset = 0.0000 eV/atom
V = 28.952 A^3/atom
energy = -4.973 eV/atom
total moment = 1.072 μB/f.u.

Unit cell a=6.0182 b=6.0182 c=3.9968 alpha=90.00 beta=90.00 gamma=90.00
Last column: nearest neighbours and their distance in Å.
Sites, in units of the cell vectors:
1 Nb 0.0000 0.0000 0.0000  2 N 2.00
2 Pb 0.5000 0.5000 0.5000  8 I 3.61, 2 Pb 4.00
3 I 0.0000 0.5000 0.0000  2 Nb 3.01
4 I 0.5000 0.0000 0.0000  2 Nb 3.01
5 N 0.0000 0.0000 0.5000  2 Nb 2.00

---

No. 8
A relaxed BeHg crystal. Source: Alexandria, functional PBE.

Values from the calculation:
energy of formation from the pure elements = 0.4616 eV/atom
excess energy over the best structure of this formula in the dataset = 0.1670 eV/atom
V = 17.239 A^3/atom
energy = -1.552 eV/atom
total moment = 0.000 μB/f.u.

Unit cell a=3.3379 b=4.4011 c=4.8057 alpha=90.00 beta=102.37 gamma=90.00
Last column: nearest neighbours and their distance in Å.
Sites, in units of the cell vectors:
1 Be 0.1521 0.2500 0.1148  3 Hg 2.40-2.45, 2 Be 2.57
2 Be 0.8479 0.7500 0.8852  3 Hg 2.40-2.45, 2 Be 2.57
3 Hg 0.3613 0.7500 0.3191  3 Be 2.40-2.45
4 Hg 0.6387 0.2500 0.6809  3 Be 2.40-2.45

---

No. 9
A relaxed Sm2InSb crystal. Source: Alexandria, functional PBE.

Values from the calculation:
ΔE_f (raw) = -0.801 eV per atom
excess energy over the best structure of this formula in the dataset = 0.0000 eV/atom
V = 31.091 A^3/atom
energy = -4.875 eV/atom
total moment = 0.000 μB/f.u.

Unit cell a=12.4859 b=12.4859 c=4.4358 alpha=90.00 beta=90.00 gamma=158.92
Last column: nearest neighbours and their distance in Å.
Sites, in units of the cell vectors:
1 Sm 0.0643 0.9357 0.7500  1 Sb 3.06, 4 In 3.23
2 Sm 0.3162 0.6838 0.7500  5 Sb 3.13-3.19, 1 In 3.50
3 Sm 0.6838 0.3162 0.2500  5 Sb 3.13-3.19, 1 In 3.50
4 Sm 0.9357 0.0643 0.2500  1 Sb 3.06, 4 In 3.23
5 In 0.4586 0.5414 0.7500  2 In 3.01, 4 Sm 3.23
6 In 0.5414 0.4586 0.2500  2 In 3.01, 4 Sm 3.23
7 Sb 0.1889 0.8111 0.7500  6 Sm 3.06-3.19
8 Sb 0.8111 0.1889 0.2500  6 Sm 3.06-3.19

---

No. 10
A relaxed Tb2Nd3ErAs6 crystal. Source: Alexandria, functional PBE.

Values from the calculation:
energy of formation from the pure elements = -1.5170 eV/atom
V = 26.139 A^3/atom
energy = -6.186 eV/atom
total moment = 0.000 μB/f.u.

Unit cell a=7.2700 b=7.2700 c=7.2670 alpha=99.60 beta=99.60 gamma=119.98
Last column: nearest neighbours and their distance in Å.
Sites, in units of the cell vectors:
1 Tb 0.1665 0.8335 0.0000  6 As 2.94
2 Tb 0.8335 0.1665 0.0000  6 As 2.94
3 Nd 0.0000 0.0000 0.5000  6 As 3.00-3.01
4 Nd 0.3329 0.6671 0.5000  6 As 3.00-3.01
5 Nd 0.6671 0.3329 0.5000  6 As 3.00-3.01
6 Er 0.5000 0.5000 0.0000  6 As 2.92
7 As 0.0883 0.4199 0.7594  1 Er 2.92, 2 Tb 2.94, 3 Nd 3.00-3.01
8 As 0.2489 0.2489 0.2410  1 Er 2.92, 2 Tb 2.94, 3 Nd 3.00-3.01
9 As 0.4199 0.0883 0.7594  1 Er 2.92, 2 Tb 2.94, 3 Nd 3.00-3.01
10 As 0.5801 0.9117 0.2406  1 Er 2.92, 2 Tb 2.94, 3 Nd 3.00-3.01
11 As 0.7511 0.7511 0.7590  1 Er 2.92, 2 Tb 2.94, 3 Nd 3.00-3.01
12 As 0.9117 0.5801 0.2406  1 Er 2.92, 2 Tb 2.94, 3 Nd 3.00-3.01

---

No. 11
A relaxed K4Pm3PuS8 crystal. Source: Alexandria, functional PBE.

Values from the calculation:
ΔE_f (raw) = -1.783 eV per atom
V = 27.622 A^3/atom
energy = -5.907 eV/atom
total moment = 5.000 μB/f.u.

Unit cell a=8.7973 b=8.7973 c=8.7973 alpha=56.45 beta=56.45 gamma=56.45
Last column: nearest neighbours and their distance in Å.
Sites, in units of the cell vectors:
1 K 0.0000 0.0000 0.0000  6 S 3.26
2 K 0.0000 0.5000 0.5000  6 S 3.23-3.24
3 K 0.5000 0.0000 0.5000  6 S 3.23-3.24
4 K 0.5000 0.5000 0.0000  6 S 3.23-3.24
5 Pm 0.0000 0.0000 0.5000  6 S 2.84-2.85
6 Pm 0.0000 0.5000 0.0000  6 S 2.84-2.85
7 Pm 0.5000 0.0000 0.0000  6 S 2.84-2.85
8 Pu 0.5000 0.5000 0.5000  6 S 2.82
9 S 0.2357 0.2357 0.2357  3 Pm 2.85
10 S 0.2376 0.7333 0.7333  1 Pu 2.82, 2 Pm 2.84
11 S 0.2667 0.2667 0.7624  1 Pu 2.82, 2 Pm 2.84
12 S 0.2667 0.7624 0.2667  1 Pu 2.82, 2 Pm 2.84
13 S 0.7333 0.2376 0.7333  1 Pu 2.82, 2 Pm 2.84
14 S 0.7333 0.7333 0.2376  1 Pu 2.82, 2 Pm 2.84
15 S 0.7624 0.2667 0.2667  1 Pu 2.82, 2 Pm 2.84
16 S 0.7643 0.7643 0.7643  3 Pm 2.85

---

No. 12
A relaxed Rb3SrTe2O6 crystal. Source: Alexandria, functional PBE.

Values from the calculation:
ΔE_f (raw) = -1.591 eV per atom
V = 22.018 A^3/atom
energy = -4.976 eV/atom
total moment = 1.030 μB/f.u.

Unit cell a=6.3585 b=6.3585 c=7.5462 alpha=90.00 beta=90.00 gamma=120.00
Last column: nearest neighbours and their distance in Å.
Sites, in units of the cell vectors:
1 Rb 0.0000 0.0000 0.0000  6 O 3.04
2 Rb 0.3333 0.6667 0.6547  9 O 3.14-3.20
3 Rb 0.6667 0.3333 0.3453  9 O 3.14-3.20
4 Sr 0.0000 0.0000 0.5000  6 O 2.51
5 Te 0.3333 0.6667 0.1753  3 O 1.91
6 Te 0.6667 0.3333 0.8247  3 O 1.91
7 O 0.1826 0.3652 0.3013  1 Te 1.91
8 O 0.1826 0.8174 0.3013  1 Te 1.91
9 O 0.3652 0.1826 0.6987  1 Te 1.91
10 O 0.6348 0.8174 0.3013  1 Te 1.91
11 O 0.8174 0.1826 0.6987  1 Te 1.91
12 O 0.8174 0.6348 0.6987  1 Te 1.91